DFT (GGA-PBE) results for an optimized crystal structure of NpGe2Te.

The structure in POSCAR format:
```
NpGe2Te
1.0
4.441 0.000 0.000
0.000 4.441 0.000
0.000 0.000 4.419
Np Ge Te
1 2 1
Cartesian
0.000 0.000 0.000 Np
0.000 2.221 2.209 Ge
2.221 0.000 2.209 Ge
2.221 2.221 0.000 Te
```

## Properties
N(E_F) ... 10.53 states/eV/cell
DFT total energy ... -25.85 eV/f.u.
SG ... P4/mmm (123)